Below is a relaxed NaSm6Cd5 crystal, with properties calculated at the GGA-PBE level.

abc: 5.430 7.665 16.278
angles: 90.00 90.00 90.00
Space group Immm (No. 71)
Unique sites:
Na (0.000, 0.000, 0.000) (multiplicity 2)
Sm (0.000, 0.238, 0.500) (multiplicity 4)
Sm (0.000, 0.255, 0.170) (multiplicity 8)
Cd (0.000, 0.000, 0.333) (multiplicity 4)
Cd (0.000, 0.500, 0.000) (multiplicity 2)
Cd (0.000, 0.500, 0.340) (multiplicity 4)

Computed properties:
crystal system	orthorhombic
VASP energy	-73.6	eV per cell

---

Below is a relaxed Sn3PdPb crystal, with properties calculated at the GGA-PBE level.

abc: 5.261 5.261 5.261
angles: 90.00 90.00 90.00
Space group Pm-3m (No. 221)
Unique sites:
Sn (0.000, 0.000, 0.500) (multiplicity 3)
Pd (0.000, 0.000, 0.000) (multiplicity 1)
Pb (0.500, 0.500, 0.500) (multiplicity 1)

Computed properties:
crystal system	cubic
VASP energy	-20.7	eV per cell

---

Below is a relaxed SrLa2Ag2 crystal, with properties calculated at the GGA-PBE level.

abc: 4.713 4.713 14.777
angles: 90.00 90.00 90.00
Space group I4/mmm (No. 139)
Unique sites:
Sr (0.000, 0.000, 0.000) (multiplicity 2)
La (0.000, 0.500, 0.250) (multiplicity 4)
Ag (0.000, 0.000, 0.405) (multiplicity 4)

Computed properties:
crystal system	tetragonal
VASP energy	-35.4	eV per cell

---

Below is a relaxed HgSBrO4 crystal, with properties calculated at the GGA-PBE level.

abc: 13.003 6.413 6.099
angles: 90.00 103.48 90.00
Space group C2/m (No. 12)
Unique sites:
Hg (0.178, 0.000, 0.290) (multiplicity 4)
S (0.141, 0.000, 0.748) (multiplicity 4)
Br (0.040, 0.500, 0.190) (multiplicity 4)
O (0.034, 0.000, 0.781) (multiplicity 4)
O (0.165, 0.187, 0.616) (multiplicity 8)
O (0.222, 0.000, 0.974) (multiplicity 4)

Computed properties:
crystal system	monoclinic
raw formation energy	-0.783	eV per atom

---

Below is a relaxed Th2NbAs4Rh3 crystal, with properties calculated at the GGA-PBE level.

abc: 4.379 4.379 10.015
angles: 90.00 90.00 90.00
Space group P-4m2 (No. 115)
Unique sites:
Th (0.000, 0.500, 0.237) (multiplicity 2)
Nb (0.000, 0.000, 0.500) (multiplicity 1)
As (0.000, 0.000, 0.000) (multiplicity 1)
As (0.000, 0.500, 0.638) (multiplicity 2)
As (0.500, 0.500, 0.000) (multiplicity 1)
Rh (0.000, 0.500, 0.884) (multiplicity 2)
Rh (0.500, 0.500, 0.500) (multiplicity 1)

Computed properties:
crystal system	tetragonal
VASP energy	-74.1	eV per cell

---

Below is a relaxed BaPr2Ag crystal, with properties calculated at the GGA-PBE level.

abc: 3.865 3.865 9.825
angles: 90.00 90.00 90.00
Space group P4/mmm (No. 123)
Unique sites:
Ba (0.000, 0.000, 0.000) (multiplicity 1)
Pr (0.500, 0.500, 0.321) (multiplicity 2)
Ag (0.000, 0.000, 0.500) (multiplicity 1)

Computed properties:
crystal system	tetragonal
VASP energy	-14.3	eV per cell

---

Below is a relaxed PrThSc crystal, with properties calculated at the GGA-PBE level.

abc: 3.565 3.565 14.600
angles: 90.00 90.00 90.00
Space group I4mm (No. 107)
Unique sites:
Pr (0.000, 0.000, 0.000) (multiplicity 2)
Th (0.000, 0.000, 0.328) (multiplicity 2)
Sc (0.000, 0.000, 0.677) (multiplicity 2)

Computed properties:
crystal system	tetragonal
VASP energy	-36.7	eV per cell

---

Below is a relaxed BaAuCCl2 crystal, with properties calculated at the GGA-PBE level.

abc: 5.951 5.951 5.637
angles: 90.00 90.00 90.00
Space group P4/mmm (No. 123)
Unique sites:
Ba (0.000, 0.000, 0.000) (multiplicity 1)
Au (0.500, 0.500, 0.500) (multiplicity 1)
C (0.000, 0.000, 0.500) (multiplicity 1)
Cl (0.000, 0.500, 0.000) (multiplicity 2)

Computed properties:
crystal system	tetragonal
raw formation energy	0.668	eV per atom

---

Below is a relaxed Bi3SbPt crystal, with properties calculated at the GGA-PBE level.

abc: 5.446 5.446 5.446
angles: 90.00 90.00 90.00
Space group Pm-3m (No. 221)
Unique sites:
Bi (0.000, 0.000, 0.500) (multiplicity 3)
Sb (0.500, 0.500, 0.500) (multiplicity 1)
Pt (0.000, 0.000, 0.000) (multiplicity 1)

Computed properties:
crystal system	cubic
raw formation energy	0.352	eV per atom

---

Below is a relaxed NaTe3H crystal, with properties calculated at the GGA-PBE level.

abc: 4.884 4.884 4.884
angles: 90.00 90.00 90.00
Space group Pm-3m (No. 221)
Unique sites:
Na (0.000, 0.000, 0.000) (multiplicity 1)
Te (0.000, 0.500, 0.500) (multiplicity 3)
H (0.500, 0.500, 0.500) (multiplicity 1)

Computed properties:
crystal system	cubic
VASP energy	-13.0	eV per cell

---

Below is a relaxed Tl4SeCl crystal, with properties calculated at the GGA-PBE level.

abc: 9.080 9.080 9.080
angles: 90.00 90.00 90.00
Space group F-43m (No. 216)
Unique sites:
Tl (0.124, 0.124, 0.376) (multiplicity 16)
Se (0.250, 0.250, 0.750) (multiplicity 4)
Cl (0.000, 0.000, 0.000) (multiplicity 4)

Computed properties:
crystal system	cubic
raw formation energy	-0.126	eV per atom

---

Below is a relaxed RbBI2O crystal, with properties calculated at the GGA-PBE level.

abc: 6.628 6.628 3.131
angles: 90.00 90.00 90.00
Space group P4/mmm (No. 123)
Unique sites:
Rb (0.000, 0.000, 0.000) (multiplicity 1)
B (0.500, 0.500, 0.500) (multiplicity 1)
I (0.000, 0.500, 0.500) (multiplicity 2)
O (0.500, 0.500, 0.000) (multiplicity 1)

Computed properties:
crystal system	tetragonal
raw formation energy	-0.321	eV per atom